(1)
Below is a relaxed structure of Pm5Pr3Sm12, with properties calculated at the PBE-GGA level.

Computed properties:
The energy of formation is 993.5 meV/atom. The magnetic moment is 0.00 Bohr magnetons per cell.

Geometry as CIF:
```
data_Pm5Pr3Sm12
_space_group_name_H-M_alt 'I a -3 d'
_space_group_IT_number 230
_space_group_name_Hall '-I 4bd 2c 3'
_cell_length_a 18.8141
_cell_length_b 18.8141
_cell_length_c 18.8141
_cell_angle_alpha 90.00
_cell_angle_beta 90.00
_cell_angle_gamma 90.00
loop_
_atom_site_label
_atom_site_fract_x
_atom_site_fract_y
_atom_site_fract_z
Pm1 0.0000 0.0000 0.0000
Pm2 0.0000 0.2500 0.3750
Pr1 0.0000 0.2500 0.1250
Sm1 0.0107 0.0829 0.6462
```

(2)
Below is a relaxed structure of Li3Pd2, with properties calculated at the PBE-GGA level.

Computed properties:
The energy of formation is -390.2 meV/atom. The magnetic moment is 0.00 Bohr magnetons per cell.

Geometry as CIF:
```
data_Li3Pd2
_space_group_name_H-M_alt 'C 1 2/m 1'
_space_group_IT_number 12
_cell_length_a 8.6381
_cell_length_b 2.7525
_cell_length_c 6.7668
_cell_angle_alpha 90.00
_cell_angle_beta 117.18
_cell_angle_gamma 90.00
loop_
_space_group_symop_operation_xyz
'x,y,z'
'-x,-y,-z'
'-x,y,-z'
'x,-y,z'
'x+1/2,y+1/2,z'
'-x+1/2,-y+1/2,-z'
'-x+1/2,y+1/2,-z'
'x+1/2,-y+1/2,z'
loop_
_atom_site_label
_atom_site_fract_x
_atom_site_fract_y
_atom_site_fract_z
Li1 0.0000 0.0000 0.0000
Li2 0.0969 0.5000 0.4075
Pd1 0.2030 0.0000 0.7994
```

| no. | D(E_F) (states/eV/cell) |
| --- | --- |
| 1 | 350.37 |
| 2 | 1.64 |